(1)
! TlTcBr, relaxed, DFT GGA-PBE; values from VASP
&SYSTEM
  ibrav = 0, nat = 3, ntyp = 3
/
ATOMIC_SPECIES
Tl 204.38 Tl.upf
Tc 98.00 Tc.upf
Br 79.90 Br.upf
CELL_PARAMETERS angstrom
0.000 3.368 3.368
3.368 0.000 3.368
3.368 3.368 0.000
ATOMIC_POSITIONS crystal
Tl 0.000 0.000 0.000
Tc 0.750 0.750 0.750
Br 0.500 0.500 0.500
! Crystal system   cubic
! ΔE to the lowest computed polymorph   374 meV per atom
! Symmetry   F-43m, No. 216


(2)
! TlTc2Br, relaxed, DFT GGA-PBE; values from VASP
&SYSTEM
  ibrav = 0, nat = 4, ntyp = 3
/
ATOMIC_SPECIES
Tl 204.38 Tl.upf
Tc 98.00 Tc.upf
Br 79.90 Br.upf
CELL_PARAMETERS angstrom
4.706 0.000 0.000
0.000 3.079 0.000
-1.865 0.000 4.998
ATOMIC_POSITIONS crystal
Tl 0.000 0.000 0.000
Tc 0.500 0.000 0.500
Tc 0.500 0.500 0.000
Br 0.000 0.500 0.500
! Crystal system   monoclinic
! ΔE to the lowest computed polymorph   712 meV per atom
! Symmetry   P2/m, No. 10


(3)
! TlTc2Br, relaxed, DFT GGA-PBE; values from VASP
&SYSTEM
  ibrav = 0, nat = 4, ntyp = 3
/
ATOMIC_SPECIES
Tl 204.38 Tl.upf
Tc 98.00 Tc.upf
Br 79.90 Br.upf
CELL_PARAMETERS angstrom
3.216 0.000 0.000
0.000 3.216 0.000
0.000 0.000 6.723
ATOMIC_POSITIONS crystal
Tl 0.000 0.000 0.000
Tc 0.500 0.500 0.271
Tc 0.500 0.500 0.729
Br 0.000 0.000 0.500
! Crystal system   tetragonal
! ΔE to the lowest computed polymorph   752 meV per atom
! Symmetry   P4/mmm, No. 123


(4)
! TlTc2Br8, relaxed, DFT GGA-PBE; values from VASP
&SYSTEM
  ibrav = 0, nat = 11, ntyp = 3
/
ATOMIC_SPECIES
Tl 204.38 Tl.upf
Tc 98.00 Tc.upf
Br 79.90 Br.upf
CELL_PARAMETERS angstrom
5.556 0.000 0.000
0.080 8.646 0.000
0.092 2.833 8.177
ATOMIC_POSITIONS crystal
Tl 0.000 0.000 0.000
Tc 0.249 0.396 0.396
Tc 0.751 0.604 0.604
Br 0.243 0.584 0.585
Br 0.261 0.223 0.222
Br 0.268 0.148 0.643
Br 0.269 0.644 0.148
Br 0.731 0.356 0.852
Br 0.732 0.852 0.357
Br 0.739 0.777 0.778
Br 0.757 0.416 0.415
! Crystal system   triclinic
! Symmetry   P-1, No. 2


(5)
! TlTcBr, relaxed, DFT GGA-PBE; values from VASP
&SYSTEM
  ibrav = 0, nat = 3, ntyp = 3
/
ATOMIC_SPECIES
Tl 204.38 Tl.upf
Tc 98.00 Tc.upf
Br 79.90 Br.upf
CELL_PARAMETERS angstrom
-1.654 1.654 6.494
1.654 -1.654 6.494
1.654 1.654 -6.494
ATOMIC_POSITIONS crystal
Tl 0.000 0.000 0.000
Tc 0.644 0.644 0.000
Br 0.272 0.272 0.000
! Crystal system   tetragonal
! ΔE to the lowest computed polymorph   144 meV per atom
! Symmetry   I4mm, No. 107


(6)
! TlTc2Br, relaxed, DFT GGA-PBE; values from VASP
&SYSTEM
  ibrav = 0, nat = 4, ntyp = 3
/
ATOMIC_SPECIES
Tl 204.38 Tl.upf
Tc 98.00 Tc.upf
Br 79.90 Br.upf
CELL_PARAMETERS angstrom
-2.118 2.118 4.083
2.118 -2.118 4.083
2.118 2.118 -4.083
ATOMIC_POSITIONS crystal
Tl 0.000 0.000 0.000
Tc 0.500 0.500 0.000
Tc 0.750 0.250 0.500
Br 0.250 0.750 0.500
! Crystal system   tetragonal
! ΔE to the lowest computed polymorph   867 meV per atom
! Symmetry   I-4m2, No. 119


(7)
! TlTcBr3, relaxed, DFT GGA-PBE; values from VASP
&SYSTEM
  ibrav = 0, nat = 5, ntyp = 3
/
ATOMIC_SPECIES
Tl 204.38 Tl.upf
Tc 98.00 Tc.upf
Br 79.90 Br.upf
CELL_PARAMETERS angstrom
5.285 0.000 0.000
0.000 5.285 0.000
0.000 0.000 5.285
ATOMIC_POSITIONS crystal
Tl 0.000 0.000 0.000
Tc 0.500 0.500 0.500
Br 0.000 0.500 0.500
Br 0.500 0.000 0.500
Br 0.500 0.500 0.000
! Crystal system   cubic
! ΔE to the lowest computed polymorph   67 meV per atom
! Symmetry   Pm-3m, No. 221


(8)
! TlTc2Br, relaxed, DFT GGA-PBE; values from VASP
&SYSTEM
  ibrav = 0, nat = 4, ntyp = 3
/
ATOMIC_SPECIES
Tl 204.38 Tl.upf
Tc 98.00 Tc.upf
Br 79.90 Br.upf
CELL_PARAMETERS angstrom
4.680 0.000 0.000
0.000 4.680 0.000
0.000 0.000 3.230
ATOMIC_POSITIONS crystal
Tl 0.000 0.000 0.000
Tc 0.000 0.500 0.500
Tc 0.500 0.000 0.500
Br 0.500 0.500 0.000
! Crystal system   tetragonal
! ΔE to the lowest computed polymorph   827 meV per atom
! Symmetry   P4/mmm, No. 123


Number 1: formation energy from raw total energies 0.88 eV/atom. Number 2: formation energy from raw total energies 0.99 eV/atom. Number 3: formation energy from raw total energies 1.03 eV/atom. Number 4: formation energy from raw total energies -0.32 eV/atom. Number 5: formation energy from raw total energies 0.65 eV/atom. Number 6: formation energy from raw total energies 1.14 eV/atom. Number 7: formation energy from raw total energies -0.21 eV/atom. Number 8: formation energy from raw total energies 1.10 eV/atom.